Entry 1:
Ta2SbPt | the Alexandria database | GGA-PBE | relaxed; formation energy from raw total energies = 0.71 eV per atom; space group = I-42d (122)
1.0
5.591 0.000 0.000
0.000 5.591 0.000
0.000 0.000 13.927
Ta Sb Pt
8 4 4
Direct
0.201 0.250 0.125 Ta
0.250 0.701 0.375 Ta
0.250 0.799 0.875 Ta
0.299 0.250 0.625 Ta
0.701 0.750 0.625 Ta
0.750 0.201 0.875 Ta
0.750 0.299 0.375 Ta
0.799 0.750 0.125 Ta
0.000 0.000 0.500 Sb
0.000 0.500 0.750 Sb
0.500 0.000 0.250 Sb
0.500 0.500 0.000 Sb
0.000 0.000 0.000 Pt
0.000 0.500 0.250 Pt
0.500 0.000 0.750 Pt
0.500 0.500 0.500 Pt



Entry 2:
TaSbPt2 | the Alexandria database | GGA-PBE | relaxed; formation energy from raw total energies = -0.01 eV per atom; space group = R3m (160)
1.0
3.145 0.000 0.000
-1.573 2.724 0.000
0.000 0.000 25.895
Ta Sb Pt
3 3 6
Direct
0.000 0.000 0.000 Ta
0.333 0.667 0.667 Ta
0.667 0.333 0.333 Ta
0.000 0.000 0.758 Sb
0.333 0.667 0.425 Sb
0.667 0.333 0.091 Sb
0.000 0.000 0.258 Pt
0.000 0.000 0.505 Pt
0.333 0.667 0.171 Pt
0.333 0.667 0.925 Pt
0.667 0.333 0.591 Pt
0.667 0.333 0.838 Pt



Entry 3:
TaSbPt3 | the Alexandria database | GGA-PBE | relaxed; formation energy from raw total energies = 1.14 eV per atom; space group = Pm-3m (221); offset from the most stable computed form = 413 meV per atom
1.0
4.853 0.000 0.000
0.000 4.853 0.000
0.000 0.000 4.853
Ta Sb Pt
1 1 3
Direct
0.000 0.000 0.000 Ta
0.500 0.500 0.500 Sb
0.000 0.500 0.500 Pt
0.500 0.000 0.500 Pt
0.500 0.500 0.000 Pt



Entry 4:
TaSb2Pt | the Alexandria database | GGA-PBE | relaxed; formation energy from raw total energies = 0.00 eV per atom; space group = P4/mmm (123); offset from the most stable computed form = 187 meV per atom
1.0
4.693 0.000 0.000
0.000 4.693 0.000
0.000 0.000 3.558
Ta Sb Pt
1 2 1
Direct
0.000 0.000 0.000 Ta
0.000 0.500 0.500 Sb
0.500 0.000 0.500 Sb
0.500 0.500 0.000 Pt



Entry 5:
TaSb2Pt | the Alexandria database | GGA-PBE | relaxed; formation energy from raw total energies = 0.15 eV per atom; space group = Immm (71); offset from the most stable computed form = 338 meV per atom
1.0
3.849 0.000 0.000
0.000 4.900 0.000
0.000 0.000 8.546
Ta Sb Pt
2 4 2
Direct
0.000 0.000 0.000 Ta
0.500 0.500 0.500 Ta
0.000 0.500 0.228 Sb
0.000 0.500 0.772 Sb
0.500 0.000 0.272 Sb
0.500 0.000 0.728 Sb
0.000 0.000 0.500 Pt
0.500 0.500 0.000 Pt



Entry 6:
TaSbPt2 | the Alexandria database | GGA-PBE | relaxed; formation energy from raw total energies = -0.13 eV per atom; space group = I-4m2 (119)
1.0
4.113 0.000 0.000
0.000 4.113 0.000
0.000 0.000 8.397
Ta Sb Pt
2 2 4
Direct
0.000 0.000 0.000 Ta
0.500 0.500 0.500 Ta
0.000 0.500 0.250 Sb
0.500 0.000 0.750 Sb
0.000 0.000 0.500 Pt
0.000 0.500 0.750 Pt
0.500 0.000 0.250 Pt
0.500 0.500 0.000 Pt



Entry 7:
TaSb2Pt | the Alexandria database | GGA-PBE | relaxed; formation energy from raw total energies = -0.14 eV per atom; space group = Pmm2 (25); offset from the most stable computed form = 51 meV per atom
1.0
3.071 0.000 0.000
0.000 3.984 0.000
0.000 0.000 7.512
Ta Sb Pt
1 2 1
Direct
0.000 0.000 0.000 Ta
0.000 0.000 0.378 Sb
0.500 0.500 0.780 Sb
0.500 0.500 0.168 Pt



Entry 8:
TaSb2Pt | the Alexandria database | GGA-PBE | relaxed; formation energy from raw total energies = 0.25 eV per atom; space group = Cmmm (65); offset from the most stable computed form = 442 meV per atom
1.0
3.891 0.000 0.000
0.000 5.054 0.000
0.000 0.000 8.352
Ta Sb Pt
2 4 2
Direct
0.000 0.000 0.000 Ta
0.500 0.500 0.000 Ta
0.000 0.500 0.255 Sb
0.000 0.500 0.745 Sb
0.500 0.000 0.255 Sb
0.500 0.000 0.745 Sb
0.000 0.000 0.500 Pt
0.500 0.500 0.500 Pt



Entry 9:
Ta2SbPt | the Alexandria database | GGA-PBE | relaxed; formation energy from raw total energies = -0.13 eV per atom; space group = Cm (8)
1.0
9.925 0.000 0.000
0.000 3.323 0.000
-1.860 0.000 4.458
Ta Sb Pt
4 2 2
Direct
0.000 0.000 0.000 Ta
0.230 0.000 0.676 Ta
0.500 0.500 0.000 Ta
0.730 0.500 0.676 Ta
0.472 0.000 0.478 Sb
0.972 0.500 0.478 Sb
0.237 0.500 0.152 Pt
0.737 0.000 0.152 Pt



Entry 10:
TaSb2Pt | the Alexandria database | GGA-PBE | relaxed; formation energy from raw total energies = -0.19 eV per atom; space group = Pm (6); offset from the most stable computed form = 0 meV per atom
1.0
2.986 0.000 0.000
0.000 4.195 0.000
-1.399 0.000 7.470
Ta Sb Pt
1 2 1
Direct
0.000 0.000 0.000 Ta
0.391 0.500 0.769 Sb
0.672 0.000 0.374 Sb
0.567 0.500 0.144 Pt



Entry 11:
Ta2SbPt | the Alexandria database | GGA-PBE | relaxed; formation energy from raw total energies = 0.17 eV per atom; space group = F-43m (216)
1.0
6.667 0.000 0.000
0.000 6.667 0.000
0.000 0.000 6.667
Ta Sb Pt
8 4 4
Direct
0.000 0.000 0.000 Ta
0.000 0.500 0.500 Ta
0.250 0.250 0.250 Ta
0.250 0.750 0.750 Ta
0.500 0.000 0.500 Ta
0.500 0.500 0.000 Ta
0.750 0.250 0.750 Ta
0.750 0.750 0.250 Ta
0.000 0.000 0.500 Sb
0.000 0.500 0.000 Sb
0.500 0.000 0.000 Sb
0.500 0.500 0.500 Sb
0.250 0.250 0.750 Pt
0.250 0.750 0.250 Pt
0.750 0.250 0.250 Pt
0.750 0.750 0.750 Pt



Entry 12:
TaSb2Pt | the Alexandria database | GGA-PBE | relaxed; formation energy from raw total energies = 0.16 eV per atom; space group = C2/m (12); offset from the most stable computed form = 355 meV per atom
1.0
9.131 0.000 0.000
0.000 3.193 0.000
-0.911 0.000 5.539
Ta Sb Pt
2 4 2
Direct
0.000 0.000 0.000 Ta
0.500 0.500 0.000 Ta
0.244 0.500 0.243 Sb
0.256 0.000 0.757 Sb
0.744 0.000 0.243 Sb
0.756 0.500 0.757 Sb
0.000 0.500 0.500 Pt
0.500 0.000 0.500 Pt



no.,DOS at the Fermi energy (states/eV per atom)
1,1.005
2,0.482
3,1.038
4,0.595
5,0.759
6,1.153
7,0.397
8,0.611
9,0.831
10,0.519
11,0.561
12,0.695